(w)
PBE-GGA Na3TlBr6, relaxed; symmetry = P2_1/c; magnetization = 0.00 μB/f.u.
1.0
7.2784 0.0000 0.0290
0.0000 7.7877 0.0000
0.1363 0.0000 10.8047
Na Tl Br
6 2 12
Direct
0.4671 0.0890 0.2363
0.9671 0.4110 0.7363
0.5329 0.9110 0.7637
0.0329 0.5890 0.2637
0.0000 0.0000 0.5000
0.5000 0.5000 0.0000
0.5000 0.5000 0.5000
0.0000 0.0000 0.0000
0.6724 0.1970 0.5833
0.8124 0.6805 0.5663
0.1724 0.3030 0.0833
0.3511 0.5664 0.7372
0.8276 0.6970 0.9167
0.6489 0.4336 0.2628
0.3276 0.8030 0.4167
0.3124 0.8195 0.0663
0.1489 0.0664 0.7628
0.6876 0.1805 0.9337
0.8511 0.9336 0.2372
0.1876 0.3195 0.4337

=====

(x)
PBE-GGA Na3TlBr6, relaxed; symmetry = Fm-3m; magnetization = 0.00 μB/f.u.
1.0
0.0000 5.6106 5.6106
5.6106 0.0000 5.6106
5.6106 5.6106 0.0000
Na Br Tl
3 6 1
Direct
0.7500 0.7500 0.7500
0.5000 0.5000 0.5000
0.2500 0.2500 0.2500
0.7542 0.7542 0.2458
0.7542 0.2458 0.7542
0.2458 0.7542 0.2458
0.2458 0.7542 0.7542
0.2458 0.2458 0.7542
0.7542 0.2458 0.2458
0.0000 0.0000 0.0000

=====

Quick look at relative energies in meV per atom: (w) 0; (x) 148.

=====

(w)
PBE-GGA NaTlBr3, relaxed; symmetry = Pm-3m; magnetization = 0.00 μB/f.u.
1.0
5.7896 0.0000 0.0000
0.0000 5.7896 0.0000
0.0000 0.0000 5.7896
Na Br Tl
1 3 1
Direct
0.5000 0.5000 0.5000
0.0000 0.0000 0.5000
0.5000 0.0000 0.0000
0.0000 0.5000 0.0000
0.0000 0.0000 0.0000

=====

(x)
PBE-GGA NaTlBr3, relaxed; symmetry = C2/c; magnetization = 0.00 μB/f.u.
1.0
-1.3774 4.5511 -6.7320
-5.6095 -5.5809 2.4200
-0.2889 10.5764 7.2093
Br Tl Na
12 4 4
Direct
0.2996 0.1207 0.0301
0.8631 0.6241 0.1078
0.7626 0.3215 0.2852
0.2390 0.3759 0.3922
0.1789 0.8793 0.4699
0.8211 0.1207 0.5301
0.7004 0.8793 0.9699
0.4412 0.6785 0.2148
0.7610 0.6241 0.6078
0.5588 0.3215 0.7852
0.2374 0.6785 0.7148
0.1369 0.3759 0.8922
0.0000 0.5000 0.5000
0.5000 0.5000 0.0000
0.3067 0.0000 0.2500
0.6933 0.0000 0.7500
0.7765 0.7270 0.3560
0.9505 0.7270 0.8560
0.2235 0.2730 0.6440
0.0495 0.2730 0.1440

=====

Quick look at relative energies in meV per atom: (w) 162; (x) 0.

=====

(w)
PBE-GGA NaTlBr3, relaxed; symmetry = Cmc2_1; magnetization = 0.00 μB/f.u.
1.0
-2.9863 1.8755 2.4819
0.3417 -5.7618 4.7652
9.1233 4.0133 4.1985
Br Na Tl
6 2 2
Direct
0.2520 0.1734 0.5039
0.9177 0.3170 0.8355
0.0823 0.8170 0.1645
0.4106 0.8222 0.8213
0.5894 0.3222 0.1787
0.7480 0.6734 0.4961
0.1585 0.4896 0.3170
0.8415 0.9896 0.6830
0.3470 0.4919 0.6941
0.6530 0.9919 0.3059

=====

(x)
PBE-GGA NaTlBr3, relaxed; symmetry = Pm-3m; magnetization = 1.00 μB/f.u.
1.0
5.6044 0.0000 0.0000
0.0000 5.6044 0.0000
0.0000 0.0000 5.6044
Br Na Tl
3 1 1
Direct
0.0000 0.0000 0.5000
0.5000 0.0000 0.0000
0.0000 0.5000 0.0000
0.0000 0.0000 0.0000
0.5000 0.5000 0.5000

=====

Quick look at relative energies in meV per atom: (w) 0; (x) 196.

=====

(w)
PBE-GGA Na3TlBr, relaxed; symmetry = Pm-3m; magnetization = 0.00 μB/f.u.
1.0
-5.1613 -1.9195 -1.1044
0.7889 -4.2109 3.6317
-2.0693 3.1824 4.1393
Na Tl Br
3 1 1
Direct
0.0000 0.0000 0.5000
0.5000 0.0000 0.0000
0.0000 0.5000 0.0000
0.5000 0.5000 0.5000
0.0000 0.0000 0.0000

=====

(x)
PBE-GGA Na3TlBr, relaxed; symmetry = Pm-3m; magnetization = 0.00 μB/f.u.
1.0
5.9453 0.0000 0.0000
0.0000 5.9453 0.0000
0.0000 0.0000 5.9453
Na Tl Br
3 1 1
Direct
0.0000 0.5000 0.0000
0.5000 0.0000 0.0000
0.0000 0.0000 0.5000
0.0000 0.0000 0.0000
0.5000 0.5000 0.5000

=====

Quick look at relative energies in meV per atom: (w) 0; (x) 330.

=====

(w)
PBE-GGA Na2TlBr, relaxed; symmetry = I-42d; magnetization = 0.00 μB/f.u.
1.0
-0.7165 7.3348 -3.9802
-6.7986 -2.8297 -3.9908
-5.8565 3.5057 -1.2984
Tl Na Br
2 4 2
Direct
0.7500 0.2500 0.5000
0.0000 0.0000 0.0000
0.1670 0.6250 0.2500
0.3750 0.4170 0.7500
0.5830 0.1250 0.2500
0.8750 0.8330 0.7500
0.5000 0.5000 0.0000
0.2500 0.7500 0.5000

=====

(x)
PBE-GGA Na2TlBr, relaxed; symmetry = P4/mmm; magnetization = 0.00 μB/f.u.
1.0
3.6040 0.0000 0.0000
0.0000 3.6040 0.0000
0.0000 0.0000 8.5573
Br Na Tl
1 2 1
Direct
0.5000 0.5000 0.0000
0.0000 0.0000 0.7891
0.0000 0.0000 0.2109
0.5000 0.5000 0.5000

=====

Quick look at relative energies in meV per atom: (w) 129; (x) 0.

=====

(w)
PBE-GGA Na2TlBr, relaxed; symmetry = R-3m; magnetization = 0.00 μB/f.u.
1.0
3.8513 0.0000 0.0000
1.9256 3.3353 0.0000
1.9256 1.1118 10.0331
Tl Na Br
1 2 1
Direct
0.0000 0.0000 0.0000
0.8963 0.8963 0.3111
0.1037 0.1037 0.6889
0.5000 0.5000 0.5000

=====

(x)
PBE-GGA Na2TlBr, relaxed; symmetry = Fm-3m; magnetization = 0.00 μB/f.u.
1.0
-5.4079 -0.4650 -1.3328
-3.5680 4.0909 1.3312
-2.1766 3.2252 -4.0123
Tl Br Na
1 1 2
Direct
0.5000 0.5000 0.5000
0.0000 0.0000 0.0000
0.7500 0.7500 0.7500
0.2500 0.2500 0.2500

=====

Quick look at relative energies in meV per atom: (w) 0; (x) 192.

=====

(w)
PBE-GGA NaTl2Br6, relaxed; symmetry = C2/c; magnetization = 0.00 μB/f.u.
1.0
-6.4606 5.0546 -2.4443
-5.3794 -5.3806 -6.2020
-7.4073 -2.0150 6.1177
Br Tl Na
12 4 2
Direct
0.5485 0.6372 0.6202
0.1337 0.8063 0.9993
0.3179 0.3530 0.9667
0.8663 0.1937 0.0007
0.3663 0.0007 0.1937
0.6337 0.9993 0.8063
0.6821 0.6470 0.0333
0.1821 0.0333 0.6470
0.8179 0.9667 0.3530
0.0485 0.6202 0.6372
0.9515 0.3798 0.3628
0.4515 0.3628 0.3798
0.7574 0.8152 0.6005
0.2574 0.6005 0.8152
0.7426 0.3995 0.1848
0.2426 0.1848 0.3995
0.2500 0.0844 0.9156
0.7500 0.9156 0.0844

=====

(x)
PBE-GGA NaTl2Br6, relaxed; symmetry = C2/m; magnetization = 0.00 μB/f.u.
1.0
4.7663 0.0000 0.0000
-2.3831 7.0051 -0.3419
0.0001 0.3607 10.9520
Tl Br Na
2 6 1
Direct
0.2708 0.5416 0.7594
0.7292 0.4584 0.2406
0.1716 0.3433 0.1269
0.8284 0.6567 0.8731
0.3668 0.7337 0.5468
0.9185 0.8370 0.2462
0.0815 0.1630 0.7538
0.6332 0.2663 0.4532
0.0000 0.0000 0.5000

=====

Quick look at relative energies in meV per atom: (w) 0; (x) 7.

=====

(w)
PBE-GGA Na2TlBr5, relaxed; symmetry = Cmcm; magnetization = 0.00 μB/f.u.
1.0
-5.4276 0.0659 2.3676
-0.0850 -1.9607 -7.5462
1.3207 -13.1163 3.3930
Tl Br Na
2 10 4
Direct
0.8158 0.6315 0.7500
0.1842 0.3685 0.2500
0.6842 0.3684 0.9011
0.9483 0.8966 0.6089
0.2835 0.5671 0.7500
0.9483 0.8966 0.8911
0.3158 0.6316 0.4011
0.3158 0.6316 0.0989
0.7165 0.4329 0.2500
0.0517 0.1034 0.1089
0.0517 0.1034 0.3911
0.6842 0.3684 0.5989
0.1624 0.3249 0.9278
0.8376 0.6751 0.4278
0.8376 0.6751 0.0722
0.1624 0.3249 0.5722

=====

(x)
PBE-GGA Na2TlBr5, relaxed; symmetry = C2/c; magnetization = 0.00 μB/f.u.
1.0
-3.8649 6.0217 4.5312
-7.0137 -4.7364 0.3233
-2.5389 -3.0877 9.7939
Na Br Tl
4 10 2
Direct
0.5000 0.5000 0.0000
0.0000 0.5000 0.5000
0.5000 0.5000 0.5000
0.5000 0.0000 0.0000
0.2697 0.7784 0.9419
0.7303 0.2216 0.0581
0.2216 0.7303 0.5581
0.7857 0.7840 0.4271
0.2143 0.2160 0.5729
0.7784 0.2697 0.4419
0.3749 0.6251 0.2500
0.7840 0.7857 0.9271
0.2160 0.2143 0.0729
0.6251 0.3749 0.7500
0.1248 0.8752 0.7500
0.8752 0.1248 0.2500

=====

Quick look at relative energies in meV per atom: (w) 0; (x) 7.